This record from the Alexandria database describes LaHfAg after structural relaxation. The functional is PBE-GGA.

POSCAR file:
```
LaHfAg
1.0
3.308 0.000 0.000
-1.653 6.018 0.000
-0.004 -2.813 7.584
La Hf Ag
2 2 2
Cartesian
0.000 0.000 0.000
0.006 3.041 1.765
-0.005 1.855 4.886
1.650 0.184 3.010
1.649 -0.041 6.400
1.650 4.335 4.521
```

Formation enthalpy at 0 K, eV per atom: 0.085
M_tot, μB/cell: 0.00
E above lowest polymorph, meV/atom: 120
Density of states at the Fermi level, states/eV/f.u.: 3.98
Raw total energy, eV per atom: -5.826

=====

This record from the Alexandria database describes Ba2Zn2P3 after structural relaxation. The functional is PBE-GGA.

POSCAR file:
```
Ba2Zn2P3
1.0
8.384 -2.139 0.000
8.384 2.139 0.000
-7.290 0.000 9.810
Ba Zn P
4 4 6
Cartesian
-1.448 0.000 4.385
-2.251 0.000 8.159
11.730 0.000 1.651
10.927 0.000 5.425
0.418 0.000 1.389
6.521 0.000 1.708
2.959 0.000 8.102
9.061 0.000 8.421
-5.232 0.000 9.344
0.738 0.000 7.106
4.503 0.000 3.804
4.977 0.000 6.005
8.741 0.000 2.704
14.711 0.000 0.466
```

Formation enthalpy at 0 K, eV per atom: -0.749
M_tot, μB/cell: 0.00
Density of states at the Fermi level, states/eV/f.u.: 0.48
Raw total energy, eV per atom: -3.980

=====

This record from the Alexandria database describes RbZrS2N after structural relaxation. The functional is PBE-GGA.

POSCAR file:
```
RbZrS2N
1.0
5.216 0.000 0.000
0.000 5.216 0.000
0.000 0.000 4.110
Rb Zr S N
1 1 2 1
Cartesian
0.000 0.000 0.000
2.608 2.608 2.055
0.000 2.608 0.000
2.608 0.000 0.000
0.000 0.000 2.055
```

Formation energy (no corrections), eV/atom: 1.6272
M_tot, μB/cell: 0.00
E above lowest polymorph, meV/atom: 2290
Density of states at the Fermi level, states/eV/f.u.: 3.94
Raw total energy, eV per atom: -3.592

=====

This record from the Alexandria database describes PbCl2 after structural relaxation. The functional is PBE-GGA.

POSCAR file:
```
PbCl2
1.0
1.914 -11.507 0.000
1.914 11.507 0.000
0.000 0.000 4.517
Pb Cl
2 4
Cartesian
1.914 9.055 3.388
1.914 -9.055 1.129
1.914 4.403 1.129
1.914 1.544 3.388
1.914 -1.544 1.129
1.914 -4.403 3.388
```

Formation energy (no corrections), eV/atom: -1.0495
M_tot, μB/cell: 0.00
Density of states at the Fermi level, states/eV/f.u.: 0.00
Raw total energy, eV per atom: -3.517

=====

This record from the Alexandria database describes TlCd10Pb after structural relaxation. The functional is PBE-GGA.

POSCAR file:
```
TlCd10Pb
1.0
4.901 0.000 0.000
0.000 6.091 0.000
0.000 0.000 10.333
Tl Cd Pb
1 10 1
Cartesian
0.000 0.000 0.000
0.000 0.000 3.467
0.000 0.000 6.867
0.000 3.046 1.728
0.000 3.046 8.606
2.450 0.000 5.167
2.450 1.528 2.586
2.450 1.528 7.748
2.450 3.046 0.000
2.450 4.564 2.586
2.450 4.564 7.748
0.000 3.046 5.167
```

Formation enthalpy at 0 K, eV per atom: 0.068
M_tot, μB/cell: 0.00
Density of states at the Fermi level, states/eV/f.u.: 4.67
Raw total energy, eV per atom: -1.201

=====

This record from the Alexandria database describes TbErPuSn after structural relaxation. The functional is PBE-GGA.

POSCAR file:
```
TbErPuSn
1.0
0.000 3.812 3.812
3.812 0.000 3.812
3.812 3.812 0.000
Tb Er Pu Sn
1 1 1 1
Cartesian
0.000 0.000 0.000
1.906 1.906 1.906
3.812 3.812 3.812
5.719 5.719 5.719
```

Formation enthalpy at 0 K, eV per atom: -0.132
M_tot, μB/cell: 6.90
Density of states at the Fermi level, states/eV/f.u.: 10.62
Raw total energy, eV per atom: -7.014

=====

This record from the Alexandria database describes AsBr4N2 after structural relaxation. The functional is PBE-GGA.

POSCAR file:
```
AsBr4N2
1.0
3.759 0.000 0.000
-1.695 7.289 0.000
-0.046 -2.274 7.484
As Br N
1 4 2
Cartesian
0.000 0.000 0.000
-0.226 1.678 2.542
0.170 5.747 1.067
1.848 -0.731 6.417
2.244 3.338 4.942
-0.149 2.283 5.162
2.167 2.732 2.323
```

Formation energy (no corrections), eV/atom: 0.9627
M_tot, μB/cell: 0.00
Density of states at the Fermi level, states/eV/f.u.: 2.78
Raw total energy, eV per atom: -3.036

=====

This record from the Alexandria database describes Tc2RuBr after structural relaxation. The functional is PBE-GGA.

POSCAR file:
```
Tc2RuBr
1.0
2.896 0.000 0.000
0.000 4.016 0.000
-1.447 0.000 5.370
Tc Ru Br
2 1 1
Cartesian
0.000 0.000 0.000
0.001 2.008 3.988
1.450 0.000 2.843
-0.022 2.008 1.522
```

Formation energy (no corrections), eV/atom: 0.6863
M_tot, μB/cell: 0.00
E above lowest polymorph, meV/atom: 169
Density of states at the Fermi level, states/eV/f.u.: 4.51
Raw total energy, eV per atom: -7.234

=====

This record from the Alexandria database describes Na2NpUSe4 after structural relaxation. The functional is PBE-GGA.

POSCAR file:
```
Na2NpUSe4
1.0
7.192 0.000 0.000
0.000 4.154 0.000
-2.397 0.000 7.042
Na Np U Se
2 1 1 4
Cartesian
0.000 0.000 0.000
3.596 2.077 0.000
-1.199 2.077 3.521
2.398 0.000 3.521
0.015 0.000 5.163
1.211 2.077 1.875
3.584 2.077 5.166
4.780 0.000 1.879
```

Formation energy (no corrections), eV/atom: -1.1950
M_tot, μB/cell: 7.00
Density of states at the Fermi level, states/eV/f.u.: 15.03
Raw total energy, eV per atom: -6.296

=====

This record from the Alexandria database describes Cs3Sm3InTe8 after structural relaxation. The functional is PBE-GGA.

POSCAR file:
```
Cs3Sm3InTe8
1.0
7.789 -4.489 0.000
7.789 4.489 0.000
-5.201 0.000 9.259
Cs Sm In Te
3 3 1 8
Cartesian
0.000 0.000 0.000
3.895 2.244 0.000
3.895 -2.244 0.000
1.294 2.244 4.630
1.294 -2.244 4.630
5.189 0.000 4.630
-2.600 0.000 4.630
-0.061 0.000 6.376
3.914 2.287 6.380
6.464 2.287 2.879
2.593 0.000 2.827
7.784 0.000 6.432
3.914 -2.287 6.380
6.464 -2.287 2.879
10.439 0.000 2.883
```

Formation energy (no corrections), eV/atom: -1.1055
M_tot, μB/cell: 0.00
Density of states at the Fermi level, states/eV/f.u.: 9.30
Raw total energy, eV per atom: -4.078

=====

This record from the Alexandria database describes NdZrFe10 after structural relaxation. The functional is PBE-GGA.

POSCAR file:
```
NdZrFe10
1.0
3.961 0.000 0.000
0.000 4.970 0.000
0.000 0.000 8.603
Nd Zr Fe
1 1 10
Cartesian
0.000 0.000 0.000
0.000 2.485 4.302
0.000 0.000 2.932
0.000 0.000 5.671
0.000 2.485 1.513
0.000 2.485 7.090
1.980 0.000 4.302
1.980 1.263 2.228
1.980 1.263 6.375
1.980 2.485 0.000
1.980 3.706 2.228
1.980 3.706 6.375
```

Formation enthalpy at 0 K, eV per atom: -0.018
M_tot, μB/cell: 19.44
Density of states at the Fermi level, states/eV/f.u.: 10.81
Raw total energy, eV per atom: -8.180

=====

This record from the Alexandria database describes Ag2SO4 after structural relaxation. The functional is PBE-GGA.

POSCAR file:
```
Ag2SO4
1.0
0.000 5.748 6.226
2.847 0.000 6.226
2.847 5.748 0.000
Ag S O
4 2 8
Cartesian
2.135 0.870 4.669
3.558 3.744 7.782
2.135 7.753 4.669
3.558 10.627 7.782
2.135 4.311 4.669
3.558 7.185 7.782
2.987 3.430 5.534
2.987 5.193 3.805
4.411 6.304 6.918
1.282 3.430 3.805
4.411 8.067 8.647
1.282 5.193 5.534
2.706 6.304 8.647
2.706 8.067 6.918
```

Formation energy (no corrections), eV/atom: -0.8542
M_tot, μB/cell: 0.00
E above lowest polymorph, meV/atom: 0
Raw total energy, eV per atom: -5.092